# 1
{
  "formula": "SiP2Br",
  "functional": "PBE-GGA",
  "state": "relaxed",
  "e_above_lowest_polymorph_mev_per_atom": 691.6,
  "sg": "P4/mmm, No. 123",
  "mass_density_g_cm3": 3.5,
  "formation_energy_uncorrected_ev_per_atom": 0.760,
  "m_tot_mub_per_fu": 0.0,
  "vol_a3_per_atom": 20.40,
  "lattice": [[6.299, 0.000, 0.000], [0.000, 3.599, 0.000], [0.000, 0.000, 3.599]],
  "species": ["Br", "P", "P", "Si"],
  "fractional_positions": [[0.500, 0.000, 0.500], [0.000, 0.000, 0.000], [0.000, 0.500, 0.500], [0.500, 0.500, 0.000]]
}

=====

# 2
{
  "formula": "SiPBr",
  "functional": "PBE-GGA",
  "state": "relaxed",
  "e_above_lowest_polymorph_mev_per_atom": 1.6,
  "sg": "P2_1, No. 4",
  "mass_density_g_cm3": 2.8,
  "formation_energy_uncorrected_ev_per_atom": -0.383,
  "m_tot_mub_per_fu": 0.0,
  "vol_a3_per_atom": 27.50,
  "lattice": [[-1.570, 0.593, 3.206], [3.878, -2.760, 2.409], [4.606, 7.158, 0.786]],
  "species": ["P", "P", "Si", "Si", "Br", "Br"],
  "fractional_positions": [[0.254, 0.843, 0.620], [0.746, 0.343, 0.380], [0.754, 0.103, 0.599], [0.246, 0.603, 0.401], [0.761, 0.302, 0.830], [0.239, 0.802, 0.170]]
}

=====

# 3
{
  "formula": "SiP2Br",
  "functional": "PBE-GGA",
  "state": "relaxed",
  "e_above_lowest_polymorph_mev_per_atom": 177.5,
  "sg": "R-3m, No. 166",
  "mass_density_g_cm3": 3.7,
  "formation_energy_uncorrected_ev_per_atom": 0.246,
  "m_tot_mub_per_fu": 0.0,
  "vol_a3_per_atom": 18.93,
  "lattice": [[-5.189, -0.376, -4.412], [-4.512, -3.836, -3.384], [-6.508, -1.637, -1.225]],
  "species": ["Br", "P", "P", "Si"],
  "fractional_positions": [[0.750, 0.750, 0.750], [0.976, 0.976, 0.976], [0.524, 0.524, 0.524], [0.250, 0.250, 0.250]]
}

=====

# 4
{
  "formula": "SiP2Br",
  "functional": "PBE-GGA",
  "state": "relaxed",
  "e_above_lowest_polymorph_mev_per_atom": 673.1,
  "sg": "I4/mmm, No. 139",
  "mass_density_g_cm3": 3.5,
  "formation_energy_uncorrected_ev_per_atom": 0.741,
  "m_tot_mub_per_fu": 0.0,
  "vol_a3_per_atom": 20.16,
  "lattice": [[-1.721, 1.263, 6.373], [-4.154, -2.792, 4.486], [4.823, -0.743, -4.621]],
  "species": ["Br", "P", "P", "Si"],
  "fractional_positions": [[0.750, 0.250, 0.500], [0.000, 0.000, 0.000], [0.500, 0.500, 0.000], [0.250, 0.750, 0.500]]
}

=====

# 5
{
  "formula": "SiP2Br",
  "functional": "PBE-GGA",
  "state": "relaxed",
  "e_above_lowest_polymorph_mev_per_atom": 180.9,
  "sg": "Imm2, No. 44",
  "mass_density_g_cm3": 2.9,
  "formation_energy_uncorrected_ev_per_atom": 0.249,
  "m_tot_mub_per_fu": 0.0,
  "vol_a3_per_atom": 24.24,
  "lattice": [[-2.483, 5.710, -5.775], [-6.161, 5.241, -2.589], [5.409, -3.670, 5.421]],
  "species": ["Br", "P", "P", "Si"],
  "fractional_positions": [[0.147, 0.647, 0.500], [0.957, 0.957, 0.000], [0.867, 0.367, 0.500], [0.529, 0.529, 0.000]]
}

=====

# 6
{
  "formula": "SiP2Br",
  "functional": "PBE-GGA",
  "state": "relaxed",
  "e_above_lowest_polymorph_mev_per_atom": 121.1,
  "sg": "Cm, No. 8",
  "mass_density_g_cm3": 3.0,
  "formation_energy_uncorrected_ev_per_atom": 0.189,
  "m_tot_mub_per_fu": 0.0,
  "vol_a3_per_atom": 23.56,
  "lattice": [[-2.011, 1.280, -2.863], [-3.632, -0.714, -0.425], [-2.841, 6.776, 3.654]],
  "species": ["Br", "P", "P", "Si"],
  "fractional_positions": [[0.242, 0.242, 0.350], [0.032, 0.032, 0.864], [0.769, 0.769, 0.723], [0.457, 0.457, 0.563]]
}

=====

# 7
{
  "formula": "SiP3Br",
  "functional": "PBE-GGA",
  "state": "relaxed",
  "e_above_lowest_polymorph_mev_per_atom": 826.7,
  "sg": "Pm-3m, No. 221",
  "mass_density_g_cm3": 3.0,
  "formation_energy_uncorrected_ev_per_atom": 1.689,
  "m_tot_mub_per_fu": 0.0,
  "vol_a3_per_atom": 22.32,
  "lattice": [[4.815, 0.000, 0.000], [0.000, 4.815, 0.000], [0.000, 0.000, 4.815]],
  "species": ["P", "P", "P", "Si", "Br"],
  "fractional_positions": [[0.000, 0.500, 0.000], [0.000, 0.000, 0.500], [0.500, 0.000, 0.000], [0.500, 0.500, 0.500], [0.000, 0.000, 0.000]]
}

=====

# 8
{
  "formula": "Si4PBr",
  "functional": "PBE-GGA",
  "state": "relaxed",
  "sg": "F-43m, No. 216",
  "mass_density_g_cm3": 3.6,
  "formation_energy_uncorrected_ev_per_atom": 0.776,
  "m_tot_mub_per_fu": 0.0,
  "vol_a3_per_atom": 17.30,
  "lattice": [[0.000, 3.730, 3.730], [3.730, 0.000, 3.730], [3.730, 3.730, 0.000]],
  "species": ["Si", "Si", "Si", "Si", "P", "Br"],
  "fractional_positions": [[0.877, 0.374, 0.374], [0.374, 0.374, 0.877], [0.374, 0.877, 0.374], [0.374, 0.374, 0.374], [0.000, 0.000, 0.000], [0.750, 0.750, 0.750]]
}

=====

# 9
{
  "formula": "SiP2Br",
  "functional": "PBE-GGA",
  "state": "relaxed",
  "e_above_lowest_polymorph_mev_per_atom": 554.2,
  "sg": "Immm, No. 71",
  "mass_density_g_cm3": 3.7,
  "formation_energy_uncorrected_ev_per_atom": 0.622,
  "m_tot_mub_per_fu": 0.0,
  "vol_a3_per_atom": 19.30,
  "lattice": [[5.605, 0.003, 0.001], [2.483, 5.025, -0.001], [-3.460, -3.454, 2.742]],
  "species": ["Br", "P", "P", "Si"],
  "fractional_positions": [[0.250, 0.750, 0.500], [0.932, 0.932, 0.000], [0.568, 0.568, 0.000], [0.750, 0.250, 0.500]]
}

=====

# 10
{
  "formula": "SiP2Br",
  "functional": "PBE-GGA",
  "state": "relaxed",
  "e_above_lowest_polymorph_mev_per_atom": 379.8,
  "sg": "I-42d, No. 122",
  "mass_density_g_cm3": 3.1,
  "formation_energy_uncorrected_ev_per_atom": 0.448,
  "m_tot_mub_per_fu": 0.0,
  "vol_a3_per_atom": 22.92,
  "lattice": [[-1.467, 5.482, -3.072], [-5.966, -2.206, -1.088], [-5.064, 3.407, 1.721]],
  "species": ["P", "P", "P", "P", "Si", "Si", "Br", "Br"],
  "fractional_positions": [[0.555, 0.125, 0.250], [0.195, 0.625, 0.250], [0.375, 0.445, 0.750], [0.875, 0.805, 0.750], [0.500, 0.500, 0.000], [0.250, 0.750, 0.500], [0.000, 0.000, 0.000], [0.750, 0.250, 0.500]]
}

=====

# 11
{
  "formula": "SiP2Br",
  "functional": "PBE-GGA",
  "state": "relaxed",
  "e_above_lowest_polymorph_mev_per_atom": 291.4,
  "sg": "Cmm2, No. 35",
  "mass_density_g_cm3": 2.8,
  "formation_energy_uncorrected_ev_per_atom": 0.360,
  "m_tot_mub_per_fu": 0.0,
  "vol_a3_per_atom": 25.05,
  "lattice": [[-1.703, 0.599, 3.338], [2.208, -2.924, -0.988], [7.079, 4.390, 2.823]],
  "species": ["Br", "P", "P", "Si"],
  "fractional_positions": [[0.500, 0.500, 0.680], [0.000, 0.000, 0.099], [0.500, 0.500, 0.258], [0.000, 0.000, 0.462]]
}

=====

# 12
{
  "formula": "SiPBr",
  "functional": "PBE-GGA",
  "state": "relaxed",
  "e_above_lowest_polymorph_mev_per_atom": 77.0,
  "sg": "P-1, No. 2",
  "mass_density_g_cm3": 2.6,
  "formation_energy_uncorrected_ev_per_atom": -0.308,
  "m_tot_mub_per_fu": 0.0,
  "vol_a3_per_atom": 30.14,
  "lattice": [[-0.378, 0.004, 4.684], [3.006, -3.771, 0.730], [6.885, 3.985, 1.435]],
  "species": ["P", "P", "Si", "Si", "Br", "Br"],
  "fractional_positions": [[0.323, 0.926, 0.595], [0.677, 0.074, 0.405], [0.954, 0.269, 0.564], [0.046, 0.731, 0.436], [0.245, 0.696, 0.173], [0.755, 0.304, 0.827]]
}